A plane-wave DFT calculation with PBE+U was carried out for a geometry-optimized CoTeO structure.

Its density of states at the Fermi level is 21.72 states/eV per cell. As for the electronic total energy: -4.737 eV per atom. As for the density: 6.0 g cm⁻³.

Lattice parameters (Å, degrees): 5.5555 5.5555 18.8677 90.00 90.00 120.00
Space group R3 (No. 146, hexagonal axes)
Asymmetric unit:
Co1 0.0000 0.0000 0.0000 x3
Co2 0.0000 0.0000 0.2745 x3
Co3 0.0000 0.0000 0.6078 x3
Te1 0.0324 0.6962 0.4723 x9
O1 0.0005 0.3344 0.6354 x9